Entry 1:
This record from the Alexandria database describes crystalline Mg2Mo2O5 at its relaxed geometry. The functional is GGA+U.

The calculation puts the energy at -114.5 eV per cell.

It has space group Pmc2_1 (No. 26), with a = 3.232 Å, b = 13.960 Å, c = 5.206 Å, α = 90.00°, β = 90.00° and γ = 90.00°. The distinct sites, in fractional coordinates, are Mg at (0.000, 0.037, 0.000), Mg at (0.000, 0.443, 0.638), Mo at (0.500, 0.173, 0.494), Mo at (0.500, 0.328, 0.138), O at (0.000, 0.102, 0.656), O at (0.000, 0.416, 0.016), O at (0.500, 0.066, 0.219), O at (0.500, 0.261, 0.846) and O at (0.500, 0.412, 0.445).


Entry 2:
This record from the Alexandria database describes crystalline Mg2MoO4 at its relaxed geometry. The functional is GGA+U.

The calculation puts the energy at -184.1 eV per cell.

It has space group P4_122 (No. 91), with a = 6.187 Å, b = 6.187 Å, c = 8.636 Å, α = 90.00°, β = 90.00° and γ = 90.00°. The distinct sites, in fractional coordinates, are Mg at (0.000, 0.231, 0.000), Mg at (0.252, 0.252, 0.375), Mo at (0.234, 0.500, 0.750), O at (0.011, 0.256, 0.758) and O at (0.256, 0.482, 0.987).


Entry 3:
This record from the Alexandria database describes crystalline MgMoO6 at its relaxed geometry. The functional is GGA+U.

The calculation puts the energy at -182.0 eV per cell.

It has space group Fm-3m (No. 225), with a = 7.943 Å, b = 7.943 Å, c = 7.943 Å, α = 90.00°, β = 90.00° and γ = 90.00°. The distinct sites, in fractional coordinates, are Mg at (0.000, 0.000, 0.000), Mo at (0.000, 0.000, 0.500) and O at (0.000, 0.000, 0.258).


Entry 4:
This record from the Alexandria database describes crystalline MgMoO3 at its relaxed geometry. The functional is GGA+U.

The calculation puts the energy at -27.9 eV per cell.

It has space group Pm-3m (No. 221), with a = 3.759 Å, b = 3.759 Å, c = 3.759 Å, α = 90.00°, β = 90.00° and γ = 90.00°. The distinct sites, in fractional coordinates, are Mg at (0.000, 0.000, 0.000), Mo at (0.500, 0.500, 0.500) and O at (0.000, 0.000, 0.500).


Entry 5:
This record from the Alexandria database describes crystalline MgMoO3 at its relaxed geometry. The functional is GGA+U.

The calculation puts the energy at -31.0 eV per cell.

It has space group Pm-3m (No. 221), with a = 3.966 Å, b = 3.966 Å, c = 3.966 Å, α = 90.00°, β = 90.00° and γ = 90.00°. The distinct sites, in fractional coordinates, are Mg at (0.000, 0.000, 0.000), Mo at (0.500, 0.500, 0.500) and O at (0.000, 0.500, 0.500).


Entry 6:
This record from the Alexandria database describes crystalline Mg2Mo3O8 at its relaxed geometry. The functional is GGA+U.

The value obtained for the offset from the most stable computed form is 0.054 eV per atom.

It has space group C2/m (No. 12), with a = 10.003 Å, b = 6.055 Å, c = 5.485 Å, α = 90.00°, β = 100.07° and γ = 90.00°. The distinct sites, in fractional coordinates, are Mg at (0.205, 0.000, 0.077), Mo at (0.000, 0.242, 0.500), Mo at (0.000, 0.500, 0.000), O at (0.103, 0.500, 0.368), O at (0.111, 0.000, 0.373) and O at (0.121, 0.270, 0.865).